(1)
{"formula": "Pu2GaNi", "functional": "PBE-GGA", "state": "relaxed", "spacegroup": "R-3m", "cell": [[2.905, 0.000, 0.000], [1.452, 2.515, 0.000], [1.452, 0.838, 10.441]], "species": ["Ni", "Ga", "Pu", "Pu"], "frac_coords": [[0.000, 0.000, 0.000], [0.500, 0.500, 0.500], [0.082, 0.082, 0.755], [0.918, 0.918, 0.245]]}

***

(2)
{"formula": "Pu3Ga4Ni2", "functional": "PBE-GGA", "state": "relaxed", "spacegroup": "C2/m", "cell": [[4.621, 0.000, 0.000], [-2.311, 4.882, -1.002], [0.000, -3.285, 7.826]], "species": ["Pu", "Pu", "Pu", "Ga", "Ga", "Ga", "Ga", "Ni", "Ni"], "frac_coords": [[0.660, 0.321, 0.668], [0.000, 0.000, 0.000], [0.340, 0.679, 0.332], [0.701, 0.402, 0.045], [0.299, 0.598, 0.955], [0.920, 0.840, 0.598], [0.080, 0.160, 0.402], [0.612, 0.225, 0.279], [0.388, 0.775, 0.721]]}

***

(3)
{"formula": "Pu3Ga7Ni2", "functional": "PBE-GGA", "state": "relaxed", "spacegroup": "R-3m", "cell": [[-2.858, 0.037, 4.610], [-3.729, -3.833, 0.910], [3.670, -6.100, 5.516]], "species": ["Pu", "Pu", "Pu", "Ga", "Ga", "Ga", "Ga", "Ga", "Ga", "Ga", "Ni", "Ni"], "frac_coords": [[0.000, 0.000, 0.000], [0.855, 0.855, 0.436], [0.145, 0.145, 0.564], [0.500, 0.500, 0.500], [0.069, 0.580, 0.771], [0.580, 0.069, 0.771], [0.580, 0.580, 0.771], [0.931, 0.420, 0.229], [0.420, 0.420, 0.229], [0.420, 0.931, 0.229], [0.664, 0.664, 0.008], [0.336, 0.336, 0.992]]}

***

(4)
{"formula": "Pu3Ga6Ni5", "functional": "PBE-GGA", "state": "relaxed", "spacegroup": "Pmmn", "cell": [[-2.740, 0.455, -3.060], [4.251, -6.318, -4.746], [-7.205, -8.723, 5.157]], "species": ["Pu", "Pu", "Pu", "Pu", "Pu", "Pu", "Ga", "Ga", "Ga", "Ga", "Ga", "Ga", "Ga", "Ga", "Ga", "Ga", "Ga", "Ga", "Ni", "Ni", "Ni", "Ni", "Ni", "Ni", "Ni", "Ni", "Ni", "Ni"], "frac_coords": [[0.000, 0.247, 0.703], [0.500, 0.753, 0.203], [0.500, 0.753, 0.797], [0.000, 0.270, 0.000], [0.500, 0.730, 0.500], [0.000, 0.247, 0.297], [0.000, 0.980, 0.852], [0.500, 0.020, 0.648], [0.500, 0.413, 0.824], [0.500, 0.590, 0.000], [0.000, 0.410, 0.500], [0.000, 0.587, 0.676], [0.000, 0.587, 0.324], [0.500, 0.962, 0.000], [0.000, 0.980, 0.148], [0.500, 0.413, 0.176], [0.000, 0.038, 0.500], [0.500, 0.020, 0.352], [0.000, 0.547, 0.887], [0.000, 0.867, 0.658], [0.000, 0.783, 0.000], [0.500, 0.453, 0.613], [0.500, 0.217, 0.500], [0.000, 0.547, 0.113], [0.500, 0.453, 0.387], [0.000, 0.867, 0.342], [0.500, 0.133, 0.842], [0.500, 0.133, 0.158]]}

***

(5)
{"formula": "Pu2Ga4NiRh3", "functional": "PBE-GGA", "state": "relaxed", "spacegroup": "P-4m2", "cell": [[4.122, 0.000, 0.000], [0.000, 4.122, 0.000], [0.000, 0.000, 10.594]], "species": ["Pu", "Pu", "Ga", "Ga", "Ga", "Ga", "Ni", "Rh", "Rh", "Rh"], "frac_coords": [[0.500, 0.000, 0.254], [0.000, 0.500, 0.746], [0.500, 0.500, 0.000], [0.000, 0.000, 0.000], [0.500, 0.000, 0.624], [0.000, 0.500, 0.376], [0.500, 0.500, 0.500], [0.000, 0.000, 0.500], [0.500, 0.000, 0.860], [0.000, 0.500, 0.140]]}

***

(6)
{"formula": "Pu2Ga5Ni2Rh", "functional": "PBE-GGA", "state": "relaxed", "spacegroup": "P4/mbm", "cell": [[2.866, 0.000, 0.000], [0.000, 10.744, 0.000], [0.000, 0.000, 10.744]], "species": ["Pu", "Pu", "Pu", "Pu", "Ga", "Ga", "Ga", "Ga", "Ga", "Ga", "Ga", "Ga", "Ga", "Ga", "Ni", "Ni", "Ni", "Ni", "Rh", "Rh"], "frac_coords": [[0.000, 0.678, 0.178], [0.000, 0.322, 0.822], [0.000, 0.178, 0.322], [0.000, 0.822, 0.678], [0.500, 0.195, 0.056], [0.500, 0.805, 0.944], [0.500, 0.056, 0.805], [0.500, 0.695, 0.444], [0.500, 0.944, 0.195], [0.500, 0.305, 0.556], [0.500, 0.556, 0.695], [0.500, 0.444, 0.305], [0.500, 0.500, 0.000], [0.500, 0.000, 0.500], [0.000, 0.131, 0.631], [0.000, 0.869, 0.369], [0.000, 0.631, 0.869], [0.000, 0.369, 0.131], [0.000, 0.000, 0.000], [0.000, 0.500, 0.500]]}

***

no.,ΔE_f (eV/atom),energy (eV per atom)
1,0.26,-9.107
2,-0.38,-7.783
3,-0.40,-6.710
4,-0.39,-6.823
5,-0.54,-7.399
6,-0.40,-6.668